# PBE BeAu3Br, optimized geometry
data_BeAu3Br
_space_group_name_H-M_alt 'P m -3 m'
_space_group_IT_number 221
_space_group_name_Hall '-P 4 2 3'
_cell_length_a 4.609
_cell_length_b 4.609
_cell_length_c 4.609
_cell_angle_alpha 90.00
_cell_angle_beta 90.00
_cell_angle_gamma 90.00
loop_
_atom_site_label
_atom_site_fract_x
_atom_site_fract_y
_atom_site_fract_z
_atom_site_occupancy
Be1 0.000 0.000 0.000 1
Au1 0.000 0.000 0.500 1
Br1 0.500 0.500 0.500 1
# M_tot in Bohr magnetons per cell: 0.0
# Density in kg/m³: 11530
# Raw formation energy in meV per atom: 380
# E in eV/cell: -13.329